This record from Alexandria via LeMat-Bulk describes a relaxed structure of Tb4Dy2Y3. The functional is PBE.

Values from the calculation:
ΔE_f (eV per atom): 0.10
Total magnetic moment (μB per cell): 0.0
Total DFT energy (no corrections) (eV per atom): -5.139
Crystal system: monoclinic
SG: C2/c

Structure (extended XYZ):
```
18
Lattice="8.1015 -5.8015 0.0000 8.1015 5.8015 0.0000 -0.6246 0.0000 6.1162" Properties=species:S:1:pos:R:3 pbc="T T T"
Tb 6.7313 4.1563 6.0298
Tb 4.5542 1.6485 0.9345
Tb 8.5348 4.1563 3.1445
Tb 4.2419 -1.6485 3.9926
Tb 11.3366 1.6485 2.1236
Tb 7.0436 -4.1563 2.9717
Tb 11.0242 -1.6485 5.1817
Tb 8.8472 -4.1563 0.0864
Dy 5.7338 1.6391 4.1671
Dy 9.5323 1.6391 5.0072
Dy 6.0461 -1.6391 1.1090
Dy 9.8446 -1.6391 1.9491
Y 2.3397 1.1353 3.5608
Y 2.6520 -1.1353 0.5027
Y 7.9454 1.1352 1.5290
Y 7.6331 -1.1352 4.5871
Y 12.9264 1.1353 5.6135
Y 13.2387 -1.1353 2.5554
```

***

This record from Alexandria via LeMat-Bulk describes a relaxed structure of LiCuAg2. The functional is PBE.

Values from the calculation:
ΔE_f (eV per atom): -0.06
Total magnetic moment (μB per cell): 0.0
Total DFT energy (no corrections) (eV per atom): -2.990
Crystal system: orthorhombic
SG: Imm2

Structure (extended XYZ):
```
8
Lattice="3.7549 0.0000 0.0000 0.0000 3.9879 0.0000 0.0000 0.0000 8.2847" Properties=species:S:1:pos:R:3 pbc="T T T"
Li 0.0000 0.0000 0.0000
Li 1.8775 1.9939 4.1424
Cu 0.0000 1.9939 2.1119
Cu 1.8775 0.0000 6.2543
Ag 0.0000 0.0000 4.1830
Ag 0.0000 1.9939 6.2160
Ag 1.8775 0.0000 2.0737
Ag 1.8775 1.9939 0.0406
```

***

This record from Alexandria via LeMat-Bulk describes a relaxed structure of Ba3Cd2Sn9. The functional is PBE.

Values from the calculation:
ΔE_f (eV per atom): -0.35
Total magnetic moment (μB per cell): 0.0
Total DFT energy (no corrections) (eV per atom): -3.463
Crystal system: orthorhombic
SG: Immm

Structure (extended XYZ):
```
14
Lattice="-2.6492 5.8684 7.1251 2.6492 -5.8684 7.1251 2.6492 5.8684 -7.1251" Properties=species:S:1:pos:R:3 pbc="T T T"
Ba 0.0000 0.0000 0.0000
Ba 0.0000 0.0000 4.3024
Ba 0.0000 0.0000 9.9479
Cd 2.6492 3.7706 0.0000
Cd 0.0000 2.0978 7.1251
Sn 2.6492 -1.6186 2.1278
Sn 2.6492 -2.6170 5.0326
Sn 2.6492 1.6186 2.1278
Sn 0.0000 3.2514 2.0925
Sn 0.0000 5.8684 0.0000
Sn 2.6492 2.6170 5.0326
Sn 0.0000 4.2498 4.9973
Sn 0.0000 8.4855 2.0925
Sn 0.0000 7.4870 4.9973
```

***

This record from Alexandria via LeMat-Bulk describes a relaxed structure of CrNiOs2. The functional is PBE.

Values from the calculation:
ΔE_f (eV per atom): 0.78
Total magnetic moment (μB per cell): 0.0
Total DFT energy (no corrections) (eV per atom): -8.685
Crystal system: tetragonal
SG: I-42d
ΔE to the lowest computed polymorph (meV/atom): 707.8

Structure (extended XYZ):
```
16
Lattice="6.6858 0.0000 0.0000 0.0000 6.6858 0.0000 0.0000 0.0000 5.1436" Properties=species:S:1:pos:R:3 pbc="T T T"
Cr 0.0000 0.0000 0.0000
Cr 0.0000 3.3429 1.2859
Cr 3.3429 0.0000 3.8577
Cr 3.3429 3.3429 2.5718
Ni 0.0000 0.0000 2.5718
Ni 0.0000 3.3429 3.8577
Ni 3.3429 0.0000 1.2859
Ni 3.3429 3.3429 0.0000
Os 1.4870 1.6714 0.6430
Os 1.6714 4.8299 1.9289
Os 1.6714 5.1988 4.5007
Os 1.8559 1.6714 3.2148
Os 4.8299 5.0143 3.2148
Os 5.0143 1.4870 4.5007
Os 5.0143 1.8559 1.9289
Os 5.1988 5.0143 0.6430
```

***

This record from Alexandria via LeMat-Bulk describes a relaxed structure of Sn4HgBi3. The functional is PBE.

Values from the calculation:
ΔE_f (eV per atom): 0.11
Total magnetic moment (μB per cell): 0.0
Total DFT energy (no corrections) (eV per atom): -3.387
Crystal system: monoclinic
SG: C2

Structure (extended XYZ):
```
16
Lattice="9.8472 0.0000 0.0000 0.0000 10.5572 0.0000 -4.5398 0.0000 4.9978" Properties=species:S:1:pos:R:3 pbc="T T T"
Sn -0.6767 0.0000 1.7885
Sn 1.4235 6.5650 0.4530
Sn -1.0397 1.2864 4.5447
Sn 1.0605 5.2786 3.2093
Sn 4.2469 5.2786 1.7885
Sn 6.3471 1.2864 0.4530
Sn 3.8839 6.5650 4.5447
Sn 5.9841 0.0000 3.2093
Hg 0.0000 2.5873 0.0000
Hg 4.9236 7.8659 0.0000
Bi -2.2699 7.9354 2.4989
Bi -1.7569 4.2129 3.9921
Bi 2.1407 9.4915 1.0056
Bi 2.6537 2.6568 2.4989
Bi 3.1667 9.4915 3.9921
Bi 7.0643 4.2129 1.0056
```

***

This record from Alexandria via LeMat-Bulk describes a relaxed structure of Li2LaTa. The functional is PBE.

Values from the calculation:
ΔE_f (eV per atom): 0.55
Total magnetic moment (μB per cell): 0.0
Total DFT energy (no corrections) (eV per atom): -4.599
Crystal system: orthorhombic
SG: Cmmm
ΔE to the lowest computed polymorph (meV/atom): 210.7

Structure (extended XYZ):
```
8
Lattice="6.0353 0.0000 0.0000 0.0000 9.4511 0.0000 0.0000 0.0000 2.8885" Properties=species:S:1:pos:R:3 pbc="T T T"
Li 1.5088 2.3628 0.0000
Li 1.5088 7.0883 0.0000
Li 4.5265 2.3628 0.0000
Li 4.5265 7.0883 0.0000
La 0.0000 0.0000 1.4443
La 3.0176 4.7255 1.4443
Ta 0.0000 4.7255 1.4443
Ta 3.0176 0.0000 1.4443
```

***

This record from Alexandria via LeMat-Bulk describes a relaxed structure of Li2HgF. The functional is PBE.

Values from the calculation:
Energy relative to the elements, uncorrected (eV per atom): -0.9531
Total magnetic moment (μB per cell): 0.0
Total DFT energy (no corrections) (eV per atom): -2.453
Crystal system: cubic
SG: Fm-3m
ΔE to the lowest computed polymorph (meV/atom): 549.6

Structure (extended XYZ):
```
16
Lattice="6.4219 0.0000 0.0000 0.0000 6.4219 0.0000 0.0000 0.0000 6.4219" Properties=species:S:1:pos:R:3 pbc="T T T"
Li 1.6055 1.6055 1.6055
Li 1.6055 1.6055 4.8164
Li 1.6055 4.8164 1.6055
Li 1.6055 4.8164 4.8164
Li 4.8164 1.6055 1.6055
Li 4.8164 1.6055 4.8164
Li 4.8164 4.8164 1.6055
Li 4.8164 4.8164 4.8164
Hg 0.0000 0.0000 0.0000
Hg 0.0000 3.2109 3.2109
Hg 3.2109 0.0000 3.2109
Hg 3.2109 3.2109 0.0000
F 0.0000 0.0000 3.2109
F 0.0000 3.2109 0.0000
F 3.2109 0.0000 0.0000
F 3.2109 3.2109 3.2109
```

***

This record from Alexandria via LeMat-Bulk describes a relaxed structure of RbZrSi2S8. The functional is PBE.

Values from the calculation:
Energy relative to the elements, uncorrected (eV per atom): -0.6045
Total magnetic moment (μB per cell): 3.1
Total DFT energy (no corrections) (eV per atom): -5.053
Crystal system: trigonal
SG: P-3

Structure (extended XYZ):
```
12
Lattice="6.2246 0.0000 0.0000 -3.1123 5.3907 0.0000 0.0000 0.0000 9.0755" Properties=species:S:1:pos:R:3 pbc="T T T"
Rb 0.0000 0.0000 0.0000
Zr 0.0000 0.0000 4.5377
Si 0.0000 3.5938 6.5568
Si 3.1123 1.7969 2.5186
S -2.0345 3.5500 3.0871
S 0.0000 3.5938 8.6753
S 1.0552 1.8537 3.0871
S 2.1329 0.0130 5.9884
S 0.9794 5.3776 3.0871
S 2.0571 3.5370 5.9884
S 3.1123 1.7969 0.4002
S 5.1468 1.8407 5.9884
```

***

This record from Alexandria via LeMat-Bulk describes a relaxed structure of SrCa2La. The functional is PBE.

Values from the calculation:
ΔE_f (eV per atom): 0.11
Total magnetic moment (μB per cell): 0.0
Total DFT energy (no corrections) (eV per atom): -2.541
Crystal system: orthorhombic
SG: Pmmm
ΔE to the lowest computed polymorph (meV/atom): 48.0

Structure (extended XYZ):
```
4
Lattice="4.4069 0.0000 0.0000 0.0000 6.2097 0.0000 0.0000 0.0000 6.2445" Properties=species:S:1:pos:R:3 pbc="T T T"
Sr 0.0000 0.0000 0.0000
Ca 0.0000 3.1049 3.1223
Ca 2.2034 0.0000 3.1223
La 2.2034 3.1049 0.0000
```

***

This record from Alexandria via LeMat-Bulk describes a relaxed structure of NaLi2Mg. The functional is PBE.

Values from the calculation:
ΔE_f (eV per atom): 0.04
Total magnetic moment (μB per cell): 0.0
Total DFT energy (no corrections) (eV per atom): -1.649
Crystal system: monoclinic
SG: Cm

Structure (extended XYZ):
```
8
Lattice="5.8728 0.0000 0.0000 0.0000 3.1016 0.0000 -1.9063 0.0000 10.6160" Properties=species:S:1:pos:R:3 pbc="T T T"
Na 0.0000 0.0000 0.0000
Na 2.9364 1.5508 0.0000
Li -0.9247 1.5508 7.7641
Li 1.9482 0.0000 2.8503
Li 2.0117 0.0000 7.7641
Li 4.8846 1.5508 2.8503
Mg 0.2065 0.0000 5.3073
Mg 3.1429 1.5508 5.3073
```

***

This record from Alexandria via LeMat-Bulk describes a relaxed structure of CrHgW2. The functional is PBE.

Values from the calculation:
ΔE_f (eV per atom): 0.69
Total magnetic moment (μB per cell): 0.0
Total DFT energy (no corrections) (eV per atom): -8.264
Crystal system: monoclinic
SG: C2/m

Structure (extended XYZ):
```
8
Lattice="5.4856 0.0000 0.0000 0.0000 9.1033 0.0000 -0.8588 0.0000 2.5895" Properties=species:S:1:pos:R:3 pbc="T T T"
Cr 0.0000 0.0000 0.0000
Cr 2.7428 4.5516 0.0000
Hg 0.0000 4.5516 0.0000
Hg 2.7428 0.0000 0.0000
W 0.9420 2.2758 1.2948
W 0.9420 6.8275 1.2948
W 3.6849 2.2758 1.2948
W 3.6849 6.8275 1.2948
```

***

This record from Alexandria via LeMat-Bulk describes a relaxed structure of PuMn6Ge6. The functional is PBE.

Values from the calculation:
ΔE_f (eV per atom): -0.22
Total magnetic moment (μB per cell): 16.1
Total DFT energy (no corrections) (eV per atom): -7.689
Crystal system: orthorhombic
SG: Immm

Structure (extended XYZ):
```
13
Lattice="-2.5820 4.0917 4.4578 2.5820 -4.0917 4.4578 2.5820 4.0917 -4.4578" Properties=species:S:1:pos:R:3 pbc="T T T"
Pu 0.0000 0.0000 0.0000
Mn 1.2910 2.0459 -2.2289
Mn 1.2910 -2.0459 2.2289
Mn 2.5820 2.0765 0.0000
Mn -1.2910 2.0459 2.2289
Mn 1.2910 2.0459 2.2289
Mn 0.0000 2.0152 4.4578
Ge 2.5820 0.0000 1.4736
Ge 0.0000 0.0000 2.9871
Ge 0.0000 2.8268 0.0000
Ge 0.0000 5.3566 0.0000
Ge 0.0000 0.0000 5.9284
Ge 0.0000 4.0917 2.9842
```